# 1
A relaxed VCdMoS2 crystal, computed with GGA-PBE.

Lattice parameters (Å, degrees): 4.8350 5.1805 4.8350 90.00 90.00 90.00
Site moments in Bohr magnetons follow the coordinates.
Fractional coordinates of all 5 atoms:
Mo  0.0000  0.5000  0.0000  2.82
V  0.5000  0.5000  0.5000  0.23
S  0.0000  0.0000  0.5000  -0.01
S  0.5000  0.0000  0.0000  -0.01
Cd  0.0000  0.0000  0.0000  0.03

Calculated values
N(E_F) = 8.33 states/eV/cell
calculated total energy = -3.965 eV/atom
total magnetization = 3.7 μB/cell
formation energy without anion corrections = 1.86 eV per atom

# 2
A relaxed AsOs crystal, computed with GGA-PBE.

Lattice parameters (Å, degrees): 5.4498 5.4498 5.4498 147.84 133.51 57.65
Fractional coordinates of all 4 atoms:
As  0.3618  0.6118  0.2500
As  0.6382  0.3882  0.7500
Os  0.8585  0.1085  0.2500
Os  0.1415  0.8915  0.7500

Calculated values
DFT formation energy = 538 meV per atom
N(E_F) = 2.77 states/eV/cell
calculated total energy = -7.402 eV/atom
total magnetization = 0.0 μB/cell

# 3
A relaxed Ca2MgI2O2 crystal, computed with GGA-PBE.

Lattice parameters (Å, degrees): 4.0423 4.0423 10.6143 100.98 100.98 90.00
Fractional coordinates of all 7 atoms:
Ca  0.4270  0.4270  0.8540
Ca  0.5730  0.5730  0.1460
Mg  0.0000  0.0000  0.0000
I  0.1552  0.1552  0.3104
I  0.8448  0.8448  0.6896
O  0.0000  0.5000  0.0000
O  0.5000  0.0000  0.0000

Calculated values
N(E_F) = 0.00 states/eV/cell
calculated total energy = -4.890 eV/atom
total magnetization = 0.0 μB/cell
formation energy without anion corrections = -2.23 eV per atom

# 4
A relaxed Sr3PO crystal, computed with GGA-PBE.

Lattice parameters (Å, degrees): 4.4026 8.0126 8.4015 90.00 90.00 90.00
Fractional coordinates of all 10 atoms:
Sr  0.5000  0.5976  0.5838
Sr  0.5000  0.0880  0.7521
Sr  0.0000  0.2678  0.4062
Sr  0.5000  0.4024  0.0838
Sr  0.0000  0.7322  0.9062
Sr  0.5000  0.9120  0.2521
P  0.0000  0.6246  0.2610
P  0.0000  0.3754  0.7610
O  0.5000  0.2060  0.3015
O  0.5000  0.7940  0.8015

Calculated values
polymorph energy (0 for the lowest one) = 0.0 meV per atom
N(E_F) = 4.23 states/eV/cell
calculated total energy = -4.582 eV/atom
total magnetization = 1.1 μB/cell
formation energy without anion corrections = -1.50 eV per atom

# 5
A relaxed CrAg2W crystal, computed with GGA-PBE.

Lattice parameters (Å, degrees): 4.4832 4.4832 4.4832 60.00 60.00 60.00
Fractional coordinates of all 4 atoms:
Cr  0.0000  0.0000  0.0000
Ag  0.2500  0.2500  0.2500
Ag  0.7500  0.7500  0.7500
W  0.5000  0.5000  0.5000

Calculated values
DFT formation energy = 1164 meV per atom
polymorph energy (0 for the lowest one) = 780.5 meV per atom
N(E_F) = 9.93 states/eV/cell
calculated total energy = -5.906 eV/atom
total magnetization = 0.0 μB/cell

# 6
A relaxed Tc3SbO crystal, computed with GGA-PBE.

Lattice parameters (Å, degrees): 4.1516 4.1516 4.1516 90.00 90.00 90.00
Fractional coordinates of all 5 atoms:
Sb  0.5000  0.5000  0.5000
Tc  0.0000  0.5000  0.0000
Tc  0.0000  0.0000  0.5000
Tc  0.5000  0.0000  0.0000
O  0.0000  0.0000  0.0000

Calculated values
polymorph energy (0 for the lowest one) = 0.0 meV per atom
N(E_F) = 6.52 states/eV/cell
calculated total energy = -7.875 eV/atom
total magnetization = 0.0 μB/cell
formation energy without anion corrections = 0.16 eV per atom

# 7
A relaxed CaLa2MgIr crystal, computed with GGA-PBE.

Lattice parameters (Å, degrees): 5.5984 5.5984 5.3489 90.00 90.00 90.00
Fractional coordinates of all 5 atoms:
Ca  0.5000  0.5000  0.5000
Ir  0.0000  0.0000  0.0000
Mg  0.0000  0.0000  0.5000
La  0.0000  0.5000  0.0000
La  0.5000  0.0000  0.0000

Calculated values
DFT formation energy = -328 meV per atom
polymorph energy (0 for the lowest one) = 0.0 meV per atom
N(E_F) = 3.28 states/eV/cell
calculated total energy = -4.791 eV/atom
total magnetization = 0.0 μB/cell

# 8
A relaxed ReTc2N2 crystal, computed with GGA-PBE.

Lattice parameters (Å, degrees): 3.2832 3.2832 5.9642 74.02 74.02 90.00
Fractional coordinates of all 5 atoms:
Re  0.0000  0.0000  0.0000
Tc  0.3605  0.3605  0.2790
Tc  0.6395  0.6395  0.7210
N  0.7500  0.2500  0.5000
N  0.2500  0.7500  0.5000

Calculated values
polymorph energy (0 for the lowest one) = 0.0 meV per atom
N(E_F) = 4.13 states/eV/cell
calculated total energy = -9.286 eV/atom
total magnetization = 0.0 μB/cell
formation energy without anion corrections = 0.68 eV per atom

# 9
A relaxed Hg4TePCl2 crystal, computed with GGA-PBE.

Lattice parameters (Å, degrees): 8.9380 8.9380 8.0927 117.58 117.58 100.11
Fractional coordinates of all 16 atoms:
Hg  0.1982  0.8073  0.0068
Hg  0.6927  0.3018  0.4932
Hg  0.3073  0.6982  0.5068
Hg  0.8018  0.1927  0.9932
Hg  0.7713  0.7368  0.9862
Hg  0.7632  0.7287  0.5138
Hg  0.2368  0.2713  0.4862
Hg  0.2287  0.2632  0.0138
Te  0.0000  0.5000  0.0000
Te  0.0000  0.5000  0.5000
P  0.5000  0.5000  0.5000
P  0.0000  0.0000  0.0000
Cl  0.5000  0.0000  0.0000
Cl  0.5000  0.0000  0.5000
Cl  0.0000  0.0000  0.5000
Cl  0.5000  0.5000  0.0000

Calculated values
N(E_F) = 5.53 states/eV/cell
calculated total energy = -1.766 eV/atom
total magnetization = 0.0 μB/cell
formation energy without anion corrections = -0.08 eV per atom

# 10
A relaxed Pm6PrHo2Tm crystal, computed with GGA-PBE.

Lattice parameters (Å, degrees): 9.6128 8.9234 8.9234 117.27 93.42 93.42
Fractional coordinates of all 20 atoms:
Pm  0.0553  0.1185  0.7586
Pm  0.4447  0.2414  0.8815
Pm  0.9447  0.8815  0.2414
Pm  0.5553  0.7586  0.1185
Pm  0.3142  0.9917  0.4388
Pm  0.1858  0.5612  0.0083
Pm  0.6858  0.0083  0.5612
Pm  0.8142  0.4388  0.9917
Pm  0.1171  0.7076  0.4867
Pm  0.3829  0.5133  0.2924
Pm  0.8829  0.2924  0.5133
Pm  0.6171  0.4867  0.7076
Pr  0.2500  0.9718  0.0282
Pr  0.7500  0.0282  0.9718
Ho  0.4519  0.7964  0.6964
Ho  0.0481  0.3036  0.2036
Ho  0.5481  0.2036  0.3036
Ho  0.9519  0.6964  0.7964
Tm  0.2500  0.4116  0.5884
Tm  0.7500  0.5884  0.4116

Calculated values
DFT formation energy = 115 meV per atom
N(E_F) = 28.33 states/eV/cell
calculated total energy = -4.576 eV/atom
total magnetization = 0.0 μB/cell

- The lowest calculated total energy belongs to which entry?
  ReTc2N2

- The lowest N(E_F) belongs to which entry?
  Ca2MgI2O2

- The lowest N(E_F) belongs to which entry?
  Ca2MgI2O2